Record 1
The following is a GGA-PBEsol calculation of a relaxed LiCo5 crystal, from Alexandria via LeMat-Bulk.

Cell: 4.6001 4.6001 3.9673 Å, 90.00 90.00 120.00°
With the nearest neighbours (Å) after each atom.
Space group P6/mmm (No. 191)
One atom of each set of equivalent atoms:
Li 0.0000 0.0000 0.0000 x1  6 Co 2.66
Co 0.0000 0.5000 0.5000 x3  8 Co 2.30-2.39
Co 0.3333 0.6667 0.0000 x2  9 Co 2.39-2.66, 3 Li 2.66

Output
Theoretical density = 6.9 Mg/m³
DFT formation energy = 0.286 eV per atom
Crystal system = hexagonal

---

Record 2
The following is a GGA-PBEsol calculation of a relaxed La2MgZrCl crystal, from Alexandria via LeMat-Bulk.

Cell: 6.0064 6.0064 4.5178 Å, 90.00 90.00 90.00°
With the nearest neighbours (Å) after each atom.
Space group P4/mmm (No. 123)
One atom of each set of equivalent atoms:
La 0.0000 0.5000 0.0000 x2  2 Mg 3.00
Mg 0.0000 0.0000 0.0000 x1  2 Cl 2.26
Zr 0.5000 0.5000 0.5000 x1  8 La 3.76
Cl 0.0000 0.0000 0.5000 x1  2 Mg 2.26

Output
Formation energy without anion corrections = 629 meV per atom
Theoretical density = 4.4 Mg/m³
Crystal system = tetragonal

---

Record 3
The following is a GGA-PBEsol calculation of a relaxed MnGa4 crystal, from Alexandria via LeMat-Bulk.

Cell: 5.5036 5.5036 5.5036 Å, 90.00 90.00 90.00°
With the nearest neighbours (Å) after each atom.
Space group Im-3m (No. 229)
One atom of each set of equivalent atoms:
Mn 0.0000 0.0000 0.0000 x2  8 Ga 2.38
Ga 0.2500 0.2500 0.2500 x8  2 Mn 2.38

Output
Theoretical density = 6.7 Mg/m³
DFT formation energy = -0.191 eV per atom
Crystal system = cubic

---

Record 4
The following is a GGA-PBEsol calculation of a relaxed Mg3Zr crystal, from Alexandria via LeMat-Bulk.

Cell: 3.0919 3.0919 10.5492 Å, 90.00 90.00 120.00°
With the nearest neighbours (Å) after each atom.
Space group P-6m2 (No. 187)
One atom of each set of equivalent atoms:
Mg 0.0000 0.0000 0.0000 x1  12 Mg 3.09-3.17
Mg 0.6667 0.3333 0.2478 x2  9 Mg 3.09-3.17, 3 Zr 3.20
Zr 0.0000 0.0000 0.5000 x1  6 Zr 3.09, 6 Mg 3.20

Output
Theoretical density = 3.1 Mg/m³
DFT formation energy = 0.020 eV per atom
Crystal system = hexagonal

---

Record 5
The following is a GGA-PBEsol calculation of a relaxed CsHf2Al2 crystal, from Alexandria via LeMat-Bulk.

Cell: 8.9702 8.9702 3.0298 Å, 90.00 90.00 90.00°
With the nearest neighbours (Å) after each atom.
Space group P4/mbm (No. 127)
One atom of each set of equivalent atoms:
Cs 0.0000 0.0000 0.0000 x2  2 Cs 3.03, 4 Al 3.37
Hf 0.1265 0.3735 0.5000 x4  6 Al 2.99-3.11, 3 Hf 3.03-3.21
Al 0.1596 0.6596 0.0000 x4  6 Hf 2.99-3.11, 2 Al 3.03

Output
Theoretical density = 7.4 Mg/m³
DFT formation energy = 0.383 eV per atom
Crystal system = tetragonal

---

Record 6
The following is a GGA-PBEsol calculation of a relaxed InHg2Cl crystal, from Alexandria via LeMat-Bulk.

Cell: 3.2716 5.2937 5.6951 Å, 90.00 90.00 90.00°
With the nearest neighbours (Å) after each atom.
Space group Pmmm (No. 47)
One atom of each set of equivalent atoms:
In 0.0000 0.0000 0.0000 x1  2 Cl 2.85
Hg 0.5000 0.5000 0.2555 x2  2 Hg 2.78-2.91
Cl 0.0000 0.0000 0.5000 x1  2 In 2.85

Output
Formation energy without anion corrections = -226 meV per atom
Theoretical density = 9.3 Mg/m³
Crystal system = orthorhombic

---

Record 7
The following is a GGA-PBEsol calculation of a relaxed KLi3Pt crystal, from Alexandria via LeMat-Bulk.

Cell: 4.9303 4.9303 4.9303 Å, 90.00 90.00 90.00°
With the nearest neighbours (Å) after each atom.
Space group Pm-3m (No. 221)
One atom of each set of equivalent atoms:
K 0.0000 0.0000 0.0000 x1  12 Li 3.49
Li 0.0000 0.5000 0.5000 x3  2 Pt 2.47
Pt 0.5000 0.5000 0.5000 x1  6 Li 2.47

Output
Theoretical density = 3.5 Mg/m³
DFT formation energy = -0.093 eV per atom
Crystal system = cubic

---

Record 8
The following is a GGA-PBEsol calculation of a relaxed LiNbTe3O12 crystal, from Alexandria via LeMat-Bulk.

Cell: 5.0732 5.3263 7.3673 Å, 86.48 90.00 89.85°
With the nearest neighbours (Å) after each atom.
Space group P1 (No. 1)
One atom of each set of equivalent atoms:
Li 0.0000 0.0000 0.0000 x1  3 O 1.96
Nb 0.9940 0.5797 0.7816 x1  6 O 1.93-2.04
Te 0.0000 0.5793 0.2914 x1  6 O 1.88-1.98
Te 0.4933 0.0853 0.7871 x1  6 O 1.89-2.02
Te 0.5026 0.0842 0.2936 x1  6 O 1.93-1.96
O 0.1218 0.5844 0.5339 x1  1 Te 1.89, 1 Nb 1.94
O 0.1872 0.2651 0.8574 x1  1 Te 1.91, 1 Li 1.96, 1 Nb 1.99
O 0.1898 0.8966 0.2247 x1  2 Te 1.96-1.98, 1 Li 1.96
O 0.3016 0.7886 0.8510 x1  1 Te 1.89, 1 Nb 2.00
O 0.3116 0.3907 0.2222 x1  2 Te 1.94-1.95
O 0.3652 0.0837 0.5379 x1  2 Te 1.93-1.95
O 0.6319 0.0891 0.0434 x1  2 Te 1.96-2.02, 1 Li 1.96
O 0.6755 0.3943 0.7372 x1  1 Te 1.91, 1 Nb 1.93
O 0.6902 0.7744 0.3616 x1  2 Te 1.94-1.97
O 0.8076 0.9071 0.7451 x1  1 Te 1.89, 1 Nb 1.99
O 0.8151 0.2686 0.3586 x1  2 Te 1.94
O 0.8890 0.6000 0.0476 x1  1 Te 1.88, 1 Nb 2.04

Output
Formation energy without anion corrections = -1348 meV per atom
Theoretical density = 5.6 Mg/m³
Crystal system = triclinic

---

Record 9
The following is a GGA-PBEsol calculation of a relaxed Co2Si crystal, from Alexandria via LeMat-Bulk.

Cell: 4.8025 3.6686 6.9701 Å, 90.00 90.00 90.00°
With the nearest neighbours (Å) after each atom.
Space group Pnma (No. 62)
One atom of each set of equivalent atoms:
Co 0.0386 0.2500 0.2192 x4  5 Si 2.30-2.54, 5 Co 2.44-2.54
Co 0.1731 0.2500 0.5653 x4  4 Si 2.27-2.30, 3 Co 2.50-2.54
Si 0.1993 0.2500 0.8950 x4  9 Co 2.27-2.54

Output
Formation energy without anion corrections = -543 meV per atom
Theoretical density = 7.9 Mg/m³
Crystal system = orthorhombic

---

Record 10
The following is a GGA-PBEsol calculation of a relaxed Y2MgBeTe crystal, from Alexandria via LeMat-Bulk.

Cell: 5.4796 5.4796 5.1078 Å, 90.00 90.00 90.00°
With the nearest neighbours (Å) after each atom.
Space group P4/mmm (No. 123)
One atom of each set of equivalent atoms:
Y 0.0000 0.5000 0.0000 x2  2 Mg 2.74
Mg 0.0000 0.0000 0.0000 x1  2 Te 2.55, 4 Y 2.74
Be 0.5000 0.5000 0.5000 x1  8 Y 3.75, 4 Te 3.87
Te 0.0000 0.0000 0.5000 x1  2 Mg 2.55

Output
Formation energy without anion corrections = 906 meV per atom
Theoretical density = 3.7 Mg/m³
Crystal system = tetragonal

---

Record 11
The following is a GGA-PBEsol calculation of a relaxed MgSiBr2 crystal, from Alexandria via LeMat-Bulk.

Cell: 7.0086 7.0086 7.0086 Å, 90.00 90.00 90.00°
With the nearest neighbours (Å) after each atom.
Space group Fm-3m (No. 225)
One atom of each set of equivalent atoms:
Mg 0.0000 0.0000 0.0000 x4  8 Br 3.03
Si 0.0000 0.0000 0.5000 x4  8 Br 3.03
Br 0.2500 0.2500 0.2500 x8  4 Mg 3.03, 4 Si 3.03

Output
Formation energy without anion corrections = 6 meV per atom
Theoretical density = 4.1 Mg/m³
Crystal system = cubic

---

Record 12
The following is a GGA-PBEsol calculation of a relaxed CdSb2Rh crystal, from Alexandria via LeMat-Bulk.

Cell: 3.2755 3.2755 27.9864 Å, 90.00 90.00 120.00°
With the nearest neighbours (Å) after each atom.
Space group R3m (No. 160, hexagonal axes)
One atom of each set of equivalent atoms:
Cd 0.0000 0.0000 0.0000 x3  3 Rh 2.79
Sb 0.0000 0.0000 0.2390 x3  3 Cd 3.25, 9 Sb 3.28-3.45
Sb 0.0000 0.0000 0.4693 x3  3 Rh 2.58
Rh 0.0000 0.0000 0.7399 x3  3 Sb 2.58, 3 Cd 2.79

Output
Formation energy without anion corrections = -6 meV per atom
Theoretical density = 8.8 Mg/m³
Crystal system = trigonal

---

Record 13
The following is a GGA-PBEsol calculation of a relaxed Cr2NiAg crystal, from Alexandria via LeMat-Bulk.

Cell: 2.9264 4.1895 8.1272 Å, 90.00 90.00 90.00°
With the nearest neighbours (Å) after each atom.
Space group Cmm2 (No. 35)
One atom of each set of equivalent atoms:
Cr 0.0000 0.0000 0.0000 x2  6 Cr 2.28-2.56
Cr 0.0000 0.5000 0.2158 x2  6 Cr 2.28-2.56, 2 Ni 2.36
Ni 0.0000 0.0000 0.4434 x2  2 Cr 2.36, 4 Ni 2.56
Ag 0.0000 0.5000 0.7140 x2  4 Ag 2.56, 2 Ni 2.64, 2 Cr 2.75

Output
Theoretical density = 9.0 Mg/m³
DFT formation energy = 0.287 eV per atom
Crystal system = orthorhombic

---

Record 14
The following is a GGA-PBEsol calculation of a relaxed LiNb2P2O10 crystal, from Alexandria via LeMat-Bulk.

Cell: 9.4722 9.2815 3.9541 Å, 90.00 92.21 90.00°
With the nearest neighbours (Å) after each atom.
Space group C2/m (No. 12)
One atom of each set of equivalent atoms:
Li 0.0000 0.0000 0.0000 x2  4 O 1.98
Nb 0.2367 0.5000 0.3025 x4  6 O 1.94-2.10
P 0.0000 0.2452 0.5000 x4  4 O 1.54
O 0.0942 0.3408 0.2850 x8  1 P 1.54
O 0.0951 0.1464 0.7253 x8  1 P 1.54
O 0.2457 0.5000 0.7929 x4  2 Nb 1.94-2.02

Output
Formation energy without anion corrections = -2349 meV per atom
Theoretical density = 4.0 Mg/m³
Crystal system = monoclinic

---

Record 15
The following is a GGA-PBEsol calculation of a relaxed Ta2Si2Os crystal, from Alexandria via LeMat-Bulk.

Cell: 6.0512 6.0512 4.0704 Å, 90.00 90.00 90.00°
With the nearest neighbours (Å) after each atom.
Space group P4/mbm (No. 127)
One atom of each set of equivalent atoms:
Ta 0.1603 0.3397 0.0000 x4  6 Si 2.67-2.72, 1 Ta 2.74
Si 0.1371 0.6371 0.5000 x4  1 Si 2.35, 2 Os 2.35
Os 0.0000 0.0000 0.5000 x2  4 Si 2.35

Output
Formation energy without anion corrections = -556 meV per atom
Theoretical density = 13.6 Mg/m³
Crystal system = tetragonal

---

Record 16
The following is a GGA-PBEsol calculation of a relaxed CoRu2 crystal, from Alexandria via LeMat-Bulk.

Cell: 9.3655 2.6455 6.1110 Å, 90.00 104.22 90.00°
With the nearest neighbours (Å) after each atom.
Space group C2/m (No. 12)
One atom of each set of equivalent atoms:
Co 0.0292 0.0000 0.3080 x4  9 Ru 2.53-2.63, 3 Co 2.54-2.65
Ru 0.1380 0.5000 0.0321 x4  8 Ru 2.52-2.65, 4 Co 2.54-2.63
Ru 0.1897 0.5000 0.6349 x4  5 Co 2.53-2.57, 7 Ru 2.58-2.65

Output
Theoretical density = 11.8 Mg/m³
DFT formation energy = 0.080 eV per atom
Crystal system = monoclinic

---

Record 17
The following is a GGA-PBEsol calculation of a relaxed Sr2HgP crystal, from Alexandria via LeMat-Bulk.

Cell: 3.8224 3.8224 7.3669 Å, 90.00 90.00 90.00°
With the nearest neighbours (Å) after each atom.
Space group P4/mmm (No. 123)
One atom of each set of equivalent atoms:
Sr 0.0000 0.0000 0.2149 x2  4 P 3.13, 1 Sr 3.17, 4 Hg 3.42
Hg 0.5000 0.5000 0.5000 x1  8 Sr 3.42, 2 P 3.68, 4 Hg 3.82
P 0.5000 0.5000 0.0000 x1  8 Sr 3.13

Output
Theoretical density = 6.3 Mg/m³
DFT formation energy = -0.776 eV per atom
Crystal system = tetragonal

---

Record 18
The following is a GGA-PBEsol calculation of a relaxed ZnSb2P2O9 crystal, from Alexandria via LeMat-Bulk.

Cell: 6.2644 7.0779 17.6822 Å, 90.00 90.00 90.00°
With the nearest neighbours (Å) after each atom.
Space group P2_12_12_1 (No. 19)
One atom of each set of equivalent atoms:
Zn 0.0291 0.0582 0.0197 x4  4 O 1.96-2.01
Sb 0.0454 0.7020 0.1859 x4  3 O 1.97-2.04
Sb 0.0992 0.4895 0.8459 x4  2 O 1.99-2.04
P 0.0186 0.4899 0.0187 x4  4 O 1.52-1.59
P 0.0599 0.9689 0.8372 x4  4 O 1.51-1.57
O 0.0097 0.2607 0.6446 x4  1 P 1.57
O 0.0211 0.6664 0.0723 x4  1 P 1.57
O 0.0275 0.3105 0.0655 x4  1 P 1.52
O 0.0623 0.0836 0.9094 x4  1 P 1.51
O 0.0944 0.4480 0.3293 x4  2 Sb 1.97-1.99
O 0.0956 0.5557 0.7203 x4  1 P 1.54
O 0.1689 0.0064 0.5375 x4  1 P 1.54
O 0.2162 0.0363 0.2970 x4  1 P 1.57
O 0.2201 0.5100 0.9649 x4  1 P 1.59

Output
Formation energy without anion corrections = -1797 meV per atom
Theoretical density = 4.4 Mg/m³
Crystal system = orthorhombic

---

Record 19
The following is a GGA-PBEsol calculation of a relaxed Ag2TePb crystal, from Alexandria via LeMat-Bulk.

Cell: 6.6153 6.6638 4.1158 Å, 90.00 90.20 90.00°
With the nearest neighbours (Å) after each atom.
Space group C2/m (No. 12)
One atom of each set of equivalent atoms:
Ag 0.2500 0.2500 0.0000 x4  4 Pb 3.12-3.13, 4 Te 3.12-3.13, 4 Ag 3.31-3.33
Te 0.0000 0.0000 0.5000 x2  8 Ag 3.12-3.13, 4 Pb 3.31-3.33
Pb 0.0000 0.5000 0.5000 x2  8 Ag 3.12-3.13, 4 Te 3.31-3.33

Output
Formation energy without anion corrections = 105 meV per atom
Theoretical density = 10.1 Mg/m³
Crystal system = monoclinic

---

Record 20
The following is a GGA-PBEsol calculation of a relaxed Fe3Co2 crystal, from Alexandria via LeMat-Bulk.

Cell: 2.7795 3.9692 19.7386 Å, 90.00 90.00 90.00°
With the nearest neighbours (Å) after each atom.
Space group Fmmm (No. 69)
One atom of each set of equivalent atoms:
Fe 0.0000 0.0000 0.0000 x4  4 Co 2.41, 4 Fe 2.42
Fe 0.0000 0.0000 0.1995 x8  2 Co 2.41, 6 Fe 2.42-2.43
Co 0.0000 0.0000 0.4004 x8  4 Fe 2.41, 4 Co 2.42

Output
Theoretical density = 8.7 Mg/m³
DFT formation energy = 0.029 eV per atom
Crystal system = orthorhombic

---

Record 21
The following is a GGA-PBEsol calculation of a relaxed Li7Ge2 crystal, from Alexandria via LeMat-Bulk.

Cell: 9.1065 13.0723 4.4382 Å, 90.00 90.00 90.00°
With the nearest neighbours (Å) after each atom.
Space group Cmmm (No. 65)
One atom of each set of equivalent atoms:
Li 0.0000 0.0000 0.0000 x2  4 Ge 2.63, 4 Li 2.68
Li 0.0000 0.1727 0.5000 x4  6 Li 2.64-2.77, 4 Ge 2.66-2.95
Li 0.0000 0.5000 0.5000 x2  8 Li 2.52-2.66
Li 0.1589 0.3417 0.5000 x8  4 Li 2.52-2.65, 3 Ge 2.66-2.68
Li 0.1605 0.5000 0.0000 x4  4 Li 2.55-2.66, 4 Ge 2.76-2.79
Li 0.1818 0.1607 0.0000 x8  7 Li 2.55-2.77, 1 Ge 2.67
Ge 0.0000 0.3209 0.0000 x4  12 Li 2.66-2.95
Ge 0.1546 0.0000 0.5000 x4  8 Li 2.63-2.79, 1 Ge 2.82

Output
Theoretical density = 2.4 Mg/m³
DFT formation energy = -0.332 eV per atom
Crystal system = orthorhombic

---

Record 22
The following is a GGA-PBEsol calculation of a relaxed LiAu5 crystal, from Alexandria via LeMat-Bulk.

Cell: 5.4507 5.4507 4.5654 Å, 90.00 90.00 120.00°
With the nearest neighbours (Å) after each atom.
Space group P6/mmm (No. 191)
One atom of each set of equivalent atoms:
Li 0.0000 0.0000 0.0000 x1  6 Au 3.15
Au 0.0000 0.5000 0.5000 x3  8 Au 2.73-2.77
Au 0.3333 0.6667 0.0000 x2  6 Au 2.77

Output
Theoretical density = 14.0 Mg/m³
DFT formation energy = -0.118 eV per atom
Crystal system = hexagonal

---

Record 23
The following is a GGA-PBEsol calculation of a relaxed LiCd2Ag crystal, from Alexandria via LeMat-Bulk.

Cell: 9.8016 3.0415 4.9325 Å, 90.00 103.44 90.00°
With the nearest neighbours (Å) after each atom.
Space group Cm (No. 8)
One atom of each set of equivalent atoms:
Li 0.0000 0.0000 0.0000 x2  3 Ag 2.83-3.06, 7 Cd 2.86-2.95, 2 Li 3.04
Cd 0.2481 0.0000 0.7572 x2  4 Ag 2.86-2.94, 3 Li 2.91-2.95, 5 Cd 2.99-3.04
Cd 0.4905 0.0000 0.4854 x2  4 Li 2.86-2.94, 3 Ag 2.90-2.96, 5 Cd 2.99-3.04
Ag 0.2404 0.5000 0.2433 x2  3 Li 2.83-3.06, 7 Cd 2.86-2.96, 2 Ag 3.04

Output
Theoretical density = 7.9 Mg/m³
DFT formation energy = -0.166 eV per atom
Crystal system = monoclinic